1.
# Zn4Ga5Ag2, relaxed, DFT PBE
data_Zn4Ga5Ag2
_chemical_formula_sum 'Zn8 Ga10 Ag4'
_cell_length_a 2.947
_cell_length_b 6.795
_cell_length_c 19.739
_cell_angle_alpha 90.00
_cell_angle_beta 90.00
_cell_angle_gamma 90.00
_space_group_name_H-M_alt 'I m m m'
_space_group_IT_number 71
_space_group_name_Hall '-I 2 2'
loop_
_atom_site_label
_atom_site_type_symbol
_atom_site_fract_x
_atom_site_fract_y
_atom_site_fract_z
Zn1 Zn 0.000 0.000 0.095
Zn2 Zn 0.000 0.311 0.500
Ga1 Ga 0.000 0.198 0.352
Ga2 Ga 0.000 0.500 0.000
Ag1 Ag 0.000 0.000 0.231
# ΔH_f (0 K) in meV per atom: 85
# E above lowest polymorph in meV per atom: 51.4



2.
# LaNd8Y2, relaxed, DFT PBE
data_LaNd8Y2
_chemical_formula_sum 'La2 Nd16 Y4'
_cell_length_a 9.240
_cell_length_b 16.866
_cell_length_c 6.079
_cell_angle_alpha 90.00
_cell_angle_beta 124.88
_cell_angle_gamma 90.00
_space_group_name_H-M_alt 'C 1 2/m 1'
_space_group_IT_number 12
_space_group_name_Hall '-C 2y'
loop_
_atom_site_label
_atom_site_type_symbol
_atom_site_fract_x
_atom_site_fract_y
_atom_site_fract_z
La1 La 0.000 0.000 0.000
Nd1 Nd 0.000 0.205 0.000
Nd2 Nd 0.075 0.500 0.796
Nd3 Nd 0.221 0.121 0.688
Y1 Y 0.000 0.311 0.500
# ΔH_f (0 K) in meV per atom: 128
# E above lowest polymorph in meV per atom: 22.2



3.
# Ce2ThTa, relaxed, DFT PBE
data_Ce2ThTa
_chemical_formula_sum 'Ce6 Th3 Ta3'
_cell_length_a 3.1976
_cell_length_b 3.1976
_cell_length_c 34.7788
_cell_angle_alpha 90.00
_cell_angle_beta 90.00
_cell_angle_gamma 120.00
_space_group_name_H-M_alt 'R -3 m'
_space_group_IT_number 166
_space_group_name_Hall '-R 3 2"'
loop_
_atom_site_label
_atom_site_type_symbol
_atom_site_fract_x
_atom_site_fract_y
_atom_site_fract_z
Ce1 Ce 0.0000 0.0000 0.0806
Th1 Th 0.0000 0.0000 0.5000
Ta1 Ta 0.0000 0.0000 0.0000
# ΔH_f (0 K) in meV per atom: 489



Number 1: electronic total energy -2.27 eV per atom. Number 2: electronic total energy -4.96 eV per atom. Number 3: electronic total energy -7.30 eV per atom.